Below is CrCd3Ge after structural relaxation, with properties calculated at the PBE level.

N(E_F) in states/eV per cell: 4.3
E_tot in eV per atom: -2.32
V in Å³ per atom: 25.7

a b c (Å): 5.0493 5.0493 5.0493
angles (deg): 90.00 90.00 90.00
Last column: nearest neighbours and their distance in Å.
Fractional positions:
1 Cr 0.0000 0.0000 0.0000  6 Cd 2.52
2 Cd 0.0000 0.0000 0.5000  2 Cr 2.52
3 Cd 0.0000 0.5000 0.0000  2 Cr 2.52
4 Cd 0.5000 0.0000 0.0000  2 Cr 2.52
5 Ge 0.5000 0.5000 0.5000  12 Cd 3.57